(1)
TcBrO3: optimized geometry, PBE-GGA.

V: 65 Å³/cell
formation energy (no corrections): 0.90 eV per atom
D(E_F): 0.221 states/eV/atom

Cell lengths 4.025, 4.025, 4.025 Å; angles 90.00, 90.00, 90.00 degrees
Site moments in Bohr magnetons follow the coordinates.
Fractional positions:
O (0.000, 0.500, 0.000)  0.13
O (0.000, 0.000, 0.500)  0.09
O (0.500, 0.000, 0.000)  0.09
Tc (0.500, 0.500, 0.500)  4.18
Br (0.000, 0.000, 0.000)  0.02

(2)
Cr2HgBr: optimized geometry, PBE-GGA.

energy above the most stable polymorph in this dataset: 19 meV per atom
V: 81 Å³/cell
formation energy (no corrections): 0.28 eV per atom
D(E_F): 0.803 states/eV/atom

Cell lengths 9.042, 9.042, 9.042 Å; angles 20.78, 20.78, 20.78 degrees
Site moments in Bohr magnetons follow the coordinates.
Fractional positions:
Br (0.730, 0.730, 0.730)  0.01
Cr (0.994, 0.994, 0.994)  2.90
Cr (0.265, 0.265, 0.265)  -2.97
Hg (0.512, 0.512, 0.512)  -0.04

(3)
Nd3Cu2Au4: optimized geometry, PBE-GGA.

formation energy: -5.56 eV per formula unit
V: 203 Å³/cell
D(E_F): 0.692 states/eV/atom

Cell lengths 4.639, 5.891, 8.670 Å; angles 70.72, 74.48, 66.81 degrees
Fractional positions:
Nd (0.335, 0.662, 0.668)
Nd (0.000, 0.000, 0.000)
Nd (0.665, 0.338, 0.332)
Cu (0.388, 0.937, 0.287)
Cu (0.612, 0.063, 0.713)
Au (0.285, 0.366, 0.065)
Au (0.715, 0.634, 0.935)
Au (0.062, 0.259, 0.616)
Au (0.938, 0.741, 0.384)

(4)
NpVW2: optimized geometry, PBE-GGA.

formation energy: 1.57 eV per formula unit
V: 68 Å³/cell
D(E_F): 1.669 states/eV/atom

Cell lengths 3.059, 3.059, 7.282 Å; angles 90.00, 90.00, 90.00 degrees
Site moments in Bohr magnetons follow the coordinates.
Fractional positions:
Np (0.500, 0.500, 0.000)  3.02
W (0.000, 0.000, 0.711)  -0.05
W (0.000, 0.000, 0.289)  -0.05
V (0.500, 0.500, 0.500)  0.03

(5)
Ga6Cu8Pt: optimized geometry, PBE-GGA.

formation energy: -1.51 eV per formula unit
V: 220 Å³/cell
D(E_F): 0.371 states/eV/atom

Cell lengths 7.052, 7.052, 6.533 Å; angles 57.33, 57.33, 60.00 degrees
Fractional positions:
Ga (0.420, 0.025, 0.842)
Ga (0.975, 0.286, 0.158)
Ga (0.286, 0.580, 0.158)
Ga (0.714, 0.420, 0.842)
Ga (0.025, 0.714, 0.842)
Ga (0.580, 0.975, 0.158)
Cu (0.570, 0.229, 0.354)
Cu (0.771, 0.153, 0.646)
Cu (0.153, 0.430, 0.646)
Cu (0.818, 0.818, 0.546)
Cu (0.182, 0.182, 0.454)
Cu (0.847, 0.570, 0.354)
Cu (0.229, 0.847, 0.354)
Cu (0.430, 0.771, 0.646)
Pt (0.000, 0.000, 0.000)

(6)
CuPdOF2: optimized geometry, PBE-GGA.

energy above the most stable polymorph in this dataset: 0 meV per atom
V: 59 Å³/cell
formation energy (no corrections): -0.51 eV per atom
D(E_F): 0.812 states/eV/atom

Cell lengths 3.840, 3.840, 4.029 Å; angles 90.00, 90.00, 90.00 degrees
Site moments in Bohr magnetons follow the coordinates.
Fractional positions:
O (0.000, 0.000, 0.500)  -0.39
Cu (0.000, 0.000, 0.000)  -0.09
Pd (0.500, 0.500, 0.500)  -1.01
F (0.000, 0.500, 0.000)  -0.03
F (0.500, 0.000, 0.000)  -0.03

Number 1: M_tot 5.02 μB per formula unit, uncorrected energy -22.4 eV/cell. Number 2: M_tot 0.18 μB per formula unit, uncorrected energy -20.1 eV/cell. Number 3: M_tot 0.00 μB per formula unit, uncorrected energy -41.2 eV/cell. Number 4: M_tot 3.13 μB per formula unit, uncorrected energy -46.4 eV/cell. Number 5: M_tot 0.00 μB per formula unit, uncorrected energy -58.5 eV/cell. Number 6: M_tot 1.64 μB per formula unit, uncorrected energy -20.5 eV/cell.